1.
Material: PaGe3O9
Method: DFT, GGA-PBE
State: optimized geometry

Structure (POSCAR):
```
PaGe3O9
1.0
4.713 -5.491 0.000
4.713 5.491 0.000
0.000 0.000 7.529
Pa Ge O
2 6 18
Direct
0.163 0.163 0.000
0.837 0.837 0.500
0.264 0.264 0.500
0.294 0.679 0.968
0.321 0.706 0.532
0.679 0.294 0.032
0.706 0.321 0.468
0.736 0.736 0.000
0.142 0.845 0.512
0.147 0.199 0.704
0.155 0.858 0.988
0.186 0.456 0.038
0.199 0.147 0.296
0.242 0.493 0.424
0.363 0.637 0.750
0.456 0.186 0.962
0.493 0.242 0.576
0.507 0.758 0.076
0.544 0.814 0.462
0.637 0.363 0.250
0.758 0.507 0.924
0.801 0.853 0.796
0.814 0.544 0.538
0.845 0.142 0.488
0.853 0.801 0.204
0.858 0.155 0.012
```

The total energy is -93.03 eV/f.u. As for the density of states at the Fermi level: 13.54 states/eV/cell. The calculation puts the raw formation energy at -1.927 eV per atom.

***

2.
Material: PaGeO4
Method: DFT, GGA-PBE
State: optimized geometry

Structure (POSCAR):
```
PaGeO4
1.0
0.000 4.480 4.480
4.480 0.000 4.480
4.480 4.480 0.000
Pa Ge O
1 1 4
Direct
0.000 0.000 0.000
0.250 0.250 0.250
0.136 0.136 0.136
0.136 0.136 0.591
0.136 0.591 0.136
0.591 0.136 0.136
```

The total energy is -48.00 eV/f.u. As for the density of states at the Fermi level: 4.49 states/eV/cell. The calculation puts the raw formation energy at -2.343 eV per atom.

***

3.
Material: PaGePbO6
Method: DFT, GGA-PBE
State: optimized geometry

Structure (POSCAR):
```
PaGePbO6
1.0
5.506 0.000 0.000
-2.753 4.768 0.000
0.000 0.000 9.871
Pa Ge Pb O
2 2 2 12
Direct
0.333 0.667 0.250
0.667 0.333 0.750
0.333 0.667 0.750
0.667 0.333 0.250
0.000 0.000 0.000
0.000 0.000 0.500
0.034 0.381 0.641
0.034 0.653 0.859
0.347 0.381 0.859
0.347 0.966 0.641
0.381 0.034 0.141
0.381 0.347 0.359
0.619 0.653 0.641
0.619 0.966 0.859
0.653 0.034 0.359
0.653 0.619 0.141
0.966 0.347 0.141
0.966 0.619 0.359
```

The total energy is -66.10 eV/f.u. As for the density of states at the Fermi level: 8.37 states/eV/cell. The calculation puts the raw formation energy at -2.059 eV per atom.

***

4.
Material: PaGe2PbO8
Method: DFT, GGA-PBE
State: optimized geometry

Structure (POSCAR):
```
PaGe2PbO8
1.0
2.560 1.478 7.829
-2.560 1.478 7.829
0.000 -2.956 7.829
Pa Ge Pb O
1 2 1 8
Direct
0.000 0.000 0.000
0.248 0.248 0.248
0.752 0.752 0.752
0.500 0.500 0.500
0.047 0.397 0.735
0.173 0.173 0.173
0.265 0.603 0.953
0.397 0.735 0.047
0.603 0.953 0.265
0.735 0.047 0.397
0.827 0.827 0.827
0.953 0.265 0.603
```

The total energy is -83.96 eV/f.u. As for the density of states at the Fermi level: 9.00 states/eV/cell. The calculation puts the raw formation energy at -1.822 eV per atom.

***

5.
Material: PaGe2PdO8
Method: DFT, GGA-PBE
State: optimized geometry

Structure (POSCAR):
```
PaGe2PdO8
1.0
-3.423 3.423 3.352
3.423 -3.423 3.352
3.423 3.423 -3.352
Pa Ge Pd O
1 2 1 8
Direct
0.000 0.000 0.000
0.500 0.500 0.000
0.750 0.250 0.500
0.250 0.750 0.500
0.308 0.123 0.814
0.308 0.494 0.186
0.385 0.079 0.307
0.506 0.692 0.814
0.772 0.079 0.693
0.877 0.692 0.186
0.921 0.228 0.307
0.921 0.615 0.693
```

The total energy is -83.86 eV/f.u. As for the density of states at the Fermi level: 8.59 states/eV/cell. The calculation puts the raw formation energy at -1.689 eV per atom.

***

6.
Material: PmPaGeO6
Method: DFT, GGA-PBE
State: optimized geometry

Structure (POSCAR):
```
PmPaGeO6
1.0
5.472 0.000 0.000
-2.736 4.739 0.000
0.000 0.000 9.406
Pm Pa Ge O
2 2 2 12
Direct
0.333 0.667 0.250
0.667 0.333 0.750
0.000 0.000 0.000
0.000 0.000 0.500
0.333 0.667 0.750
0.667 0.333 0.250
0.057 0.360 0.631
0.057 0.697 0.869
0.303 0.360 0.869
0.303 0.943 0.631
0.360 0.057 0.131
0.360 0.303 0.369
0.640 0.697 0.631
0.640 0.943 0.869
0.697 0.057 0.369
0.697 0.640 0.131
0.943 0.303 0.131
0.943 0.640 0.369
```

The total energy is -73.74 eV/f.u. As for the density of states at the Fermi level: 0.00 states/eV/cell. The calculation puts the raw formation energy at -2.792 eV per atom.

***

7.
Material: PmPaGe2O8
Method: DFT, GGA-PBE
State: optimized geometry

Structure (POSCAR):
```
PmPaGe2O8
1.0
-3.586 3.586 3.247
3.586 -3.586 3.247
3.586 3.586 -3.247
Pm Pa Ge O
1 1 2 8
Direct
0.000 0.000 0.000
0.250 0.750 0.500
0.500 0.500 0.000
0.750 0.250 0.500
0.324 0.134 0.810
0.324 0.514 0.190
0.383 0.060 0.323
0.486 0.676 0.810
0.738 0.060 0.677
0.866 0.676 0.190
0.940 0.262 0.323
0.940 0.617 0.677
```

The total energy is -94.88 eV/f.u. As for the density of states at the Fermi level: 0.00 states/eV/cell. The calculation puts the raw formation energy at -2.645 eV per atom.

***

8.
Material: PrPaGe2O8
Method: DFT, GGA-PBE
State: optimized geometry

Structure (POSCAR):
```
PrPaGe2O8
1.0
-3.613 3.613 3.254
3.613 -3.613 3.254
3.613 3.613 -3.254
Pr Pa Ge O
1 1 2 8
Direct
0.000 0.000 0.000
0.250 0.750 0.500
0.500 0.500 0.000
0.750 0.250 0.500
0.327 0.136 0.809
0.327 0.518 0.191
0.385 0.060 0.325
0.482 0.673 0.809
0.735 0.060 0.675
0.864 0.673 0.191
0.940 0.265 0.325
0.940 0.615 0.675
```

The total energy is -94.64 eV/f.u. As for the density of states at the Fermi level: 0.00 states/eV/cell. The calculation puts the raw formation energy at -2.622 eV per atom.

***

9.
Material: Pr2PaGeO8
Method: DFT, GGA-PBE
State: optimized geometry

Structure (POSCAR):
```
Pr2PaGeO8
1.0
3.991 0.000 0.000
0.601 5.500 0.000
0.405 1.129 7.868
Pr Pa Ge O
2 1 1 8
Direct
0.016 0.022 0.247
0.984 0.978 0.753
0.500 0.500 0.500
0.500 0.500 0.000
0.030 0.726 0.530
0.146 0.732 0.027
0.453 0.207 0.698
0.454 0.333 0.215
0.546 0.667 0.785
0.547 0.793 0.302
0.854 0.268 0.973
0.970 0.274 0.470
```

The total energy is -95.99 eV/f.u. As for the density of states at the Fermi level: 5.85 states/eV/cell. The calculation puts the raw formation energy at -2.721 eV per atom.

***

10.
Material: PaGe2PtO8
Method: DFT, GGA-PBE
State: optimized geometry

Structure (POSCAR):
```
PaGe2PtO8
1.0
-3.408 3.408 3.373
3.408 -3.408 3.373
3.408 3.408 -3.373
Pa Ge Pt O
1 2 1 8
Direct
0.000 0.000 0.000
0.500 0.500 0.000
0.750 0.250 0.500
0.250 0.750 0.500
0.307 0.120 0.813
0.307 0.493 0.187
0.387 0.081 0.306
0.507 0.693 0.813
0.775 0.081 0.694
0.880 0.693 0.187
0.919 0.225 0.306
0.919 0.613 0.694
```

The total energy is -84.16 eV/f.u. As for the density of states at the Fermi level: 5.28 states/eV/cell. The calculation puts the raw formation energy at -1.644 eV per atom.

***

11.
Material: PaGePtO6
Method: DFT, GGA-PBE
State: optimized geometry

Structure (POSCAR):
```
PaGePtO6
1.0
5.255 0.000 0.000
-2.628 4.551 0.000
0.000 0.000 9.128
Pa Ge Pt O
2 2 2 12
Direct
0.333 0.667 0.250
0.667 0.333 0.750
0.000 0.000 0.000
0.000 0.000 0.500
0.333 0.667 0.750
0.667 0.333 0.250
0.009 0.315 0.619
0.009 0.694 0.881
0.306 0.315 0.881
0.306 0.991 0.619
0.315 0.009 0.119
0.315 0.306 0.381
0.685 0.694 0.619
0.685 0.991 0.881
0.694 0.009 0.381
0.694 0.685 0.119
0.991 0.306 0.119
0.991 0.685 0.381
```

The total energy is -66.03 eV/f.u. As for the density of states at the Fermi level: 8.40 states/eV/cell. The calculation puts the raw formation energy at -1.792 eV per atom.

***

12.
Material: PuPaGeO6
Method: DFT, GGA-PBE
State: optimized geometry

Structure (POSCAR):
```
PuPaGeO6
1.0
5.436 0.000 0.000
-2.718 4.708 0.000
0.000 0.000 9.976
Pu Pa Ge O
2 2 2 12
Direct
0.000 0.000 0.000
0.000 0.000 0.500
0.333 0.667 0.250
0.667 0.333 0.750
0.333 0.667 0.750
0.667 0.333 0.250
0.035 0.371 0.640
0.035 0.664 0.860
0.336 0.371 0.860
0.336 0.965 0.640
0.371 0.035 0.140
0.371 0.336 0.360
0.629 0.664 0.640
0.629 0.965 0.860
0.664 0.035 0.360
0.664 0.629 0.140
0.965 0.336 0.140
0.965 0.629 0.360
```

The total energy is -82.17 eV/f.u. As for the density of states at the Fermi level: 14.29 states/eV/cell. The calculation puts the raw formation energy at -2.664 eV per atom.

***

Q: What is the raw formation energy in the fourth record?
A: -1.822 eV per atom

***

Q: Look up the raw formation energy of the twelfth one.
A: -2.664 eV per atom

***

Q: What is the raw formation energy in the second record?
A: -2.343 eV per atom